This record from the Alexandria database describes a relaxed Ho2ZnSi4Ir3 crystal. The functional is PBE.

abc: 4.096 4.096 10.101
angles: 90.00 90.00 90.00
Space group P-4m2 (No. 115)
Inequivalent atoms, fractional coordinates:
Ho 0.000 0.500 0.243
Zn 0.000 0.000 0.500
Si 0.000 0.000 0.000
Si 0.000 0.500 0.640
Si 0.500 0.500 0.000
Ir 0.000 0.500 0.874
Ir 0.500 0.500 0.500

E_form (uncorrected): -0.872 eV per atom
Volume: 169.5 Å³/cell

This record from the Alexandria database describes a relaxed BaSm2Lu crystal. The functional is PBE.

abc: 4.006 4.006 9.643
angles: 90.00 90.00 90.00
Space group P4/mmm (No. 123)
Inequivalent atoms, fractional coordinates:
Ba 0.000 0.000 0.000
Sm 0.500 0.500 0.303
Lu 0.000 0.000 0.500

Formation energy: 0.6 eV/f.u.
Distance to the lowest polymorph of the same formula: 0.000 eV per atom
Volume: 154.7 Å³/cell

This record from the Alexandria database describes a relaxed LaPm4Cd5 crystal. The functional is PBE.

abc: 3.848 3.848 19.301
angles: 90.00 90.00 90.00
Space group P4/mmm (No. 123)
Inequivalent atoms, fractional coordinates:
La 0.000 0.000 0.000
Pm 0.000 0.000 0.204
Pm 0.000 0.000 0.402
Cd 0.500 0.500 0.107
Cd 0.500 0.500 0.302
Cd 0.500 0.500 0.500

Formation energy: -3.2 eV/f.u.
Volume: 285.8 Å³/cell

This record from the Alexandria database describes a relaxed Ga2Sn2Pd crystal. The functional is PBE.

abc: 7.023 7.023 4.688
angles: 90.00 90.00 90.00
Space group P4/mbm (No. 127)
Inequivalent atoms, fractional coordinates:
Ga 0.155 0.345 0.000
Sn 0.154 0.654 0.500
Pd 0.000 0.000 0.500

Formation energy: -0.2 eV/f.u.
Distance to the lowest polymorph of the same formula: 0.084 eV per atom
Volume: 231.2 Å³/cell

This record from the Alexandria database describes a relaxed Zr5In2Bi2 crystal. The functional is PBE.

abc: 14.602 7.815 7.749
angles: 90.00 90.00 90.00
Space group Cmce (No. 64)
Inequivalent atoms, fractional coordinates:
Zr 0.000 0.000 0.000
Zr 0.139 0.161 0.336
In 0.204 0.000 0.000
Bi 0.000 0.143 0.642

Formation energy: -1.7 eV/f.u.
Volume: 884.2 Å³/cell

This record from the Alexandria database describes a relaxed CaZn3PdAu crystal. The functional is PBE.

abc: 8.152 11.237 5.517
angles: 90.00 90.00 90.00
Space group Cmcm (No. 63)
Inequivalent atoms, fractional coordinates:
Ca 0.000 0.199 0.250
Zn 0.000 0.328 0.750
Zn 0.246 0.000 0.000
Pd 0.000 0.448 0.250
Au 0.000 0.095 0.750

Formation energy: -2.0 eV/f.u.
Volume: 505.4 Å³/cell

This record from the Alexandria database describes a relaxed ErCuAg crystal. The functional is PBE.

abc: 4.5060 4.5060 3.4186
angles: 90.00 90.00 120.00
Space group P-6m2 (No. 187)
Inequivalent atoms, fractional coordinates:
Er 0.0000 0.0000 0.0000
Cu 0.6667 0.3333 0.5000
Ag 0.3333 0.6667 0.5000

Formation energy: -0.7 eV/f.u.
Distance to the lowest polymorph of the same formula: 0.041 eV per atom
Volume: 60.1 Å³/cell

This record from the Alexandria database describes a relaxed ZrAlTc2 crystal. The functional is PBE.

abc: 3.185 4.396 9.308
angles: 90.00 90.00 90.00
Space group Imm2 (No. 44)
Inequivalent atoms, fractional coordinates:
Zr 0.000 0.000 0.000
Al 0.000 0.500 0.774
Tc 0.000 0.000 0.516
Tc 0.000 0.500 0.247

Formation energy: -1.4 eV/f.u.
Volume: 130.3 Å³/cell

This record from the Alexandria database describes a relaxed AlBMo2 crystal. The functional is PBE.

abc: 5.947 5.947 5.947
angles: 90.00 90.00 90.00
Space group Fm-3m (No. 225)
Inequivalent atoms, fractional coordinates:
Al 0.000 0.000 0.000
B 0.000 0.000 0.500
Mo 0.250 0.250 0.250

Formation energy: 1.8 eV/f.u.
Distance to the lowest polymorph of the same formula: 0.283 eV per atom
Volume: 210.3 Å³/cell

This record from the Alexandria database describes a relaxed Mg2TaCo crystal. The functional is PBE.

abc: 2.826 2.826 8.381
angles: 90.00 90.00 90.00
Space group P4/mmm (No. 123)
Inequivalent atoms, fractional coordinates:
Mg 0.000 0.000 0.220
Ta 0.500 0.500 0.500
Co 0.500 0.500 0.000

Formation energy: 1.2 eV/f.u.
Distance to the lowest polymorph of the same formula: 0.261 eV per atom
Volume: 66.9 Å³/cell

This record from the Alexandria database describes a relaxed CsTl2HgBr6 crystal. The functional is PBE.

abc: 7.890 8.195 8.217
angles: 91.77 114.99 115.10
Space group P1 (No. 1)
Inequivalent atoms, fractional coordinates:
Cs 0.000 0.000 0.000
Tl 0.433 0.242 0.709
Tl 0.435 0.711 0.242
Hg 0.118 0.654 0.656
Br 0.171 0.452 0.452
Br 0.446 0.024 0.432
Br 0.448 0.433 0.023
Br 0.494 0.944 0.943
Br 0.941 0.523 0.877
Br 0.941 0.876 0.526

E_form (uncorrected): -0.824 eV per atom
Volume: 421.6 Å³/cell

This record from the Alexandria database describes a relaxed BaNbSbI2 crystal. The functional is PBE.

abc: 5.777 5.777 5.495
angles: 90.00 90.00 90.00
Space group P4/mmm (No. 123)
Inequivalent atoms, fractional coordinates:
Ba 0.000 0.000 0.000
Nb 0.500 0.500 0.500
Sb 0.500 0.500 0.000
I 0.000 0.500 0.500

Distance to the lowest polymorph of the same formula: 0.000 eV per atom
E_form (uncorrected): -0.422 eV per atom
Volume: 183.4 Å³/cell

Raw total energy (computed, eV/atom): -6.74; -3.83; -3.17; -3.88; -6.41; -2.72; -4.07; -8.59; -7.56; -5.25; -2.42; -4.26
Total moment (computed, Bohr magnetons per cell): 0.00; 0.00; 1.89; 0.00; 0.05; 0.00; 0.00; 0.44; 0.00; 1.20; 0.00; 1.82
Theoretical density (computed, g/cm³): 10.62; 6.58; 7.44; 6.94; 8.29; 7.09; 9.36; 8.01; 7.25; 7.16; 4.81; 5.49